1.
{"formula": "Sm2CoAuC", "functional": "PBE", "state": "optimized geometry", "lattice": [[5.166, 0.000, 0.000], [0.000, 5.166, 0.000], [0.000, 0.000, 3.647]], "species": ["Sm", "Sm", "Co", "Au", "C"], "frac_coords": [[0.000, 0.500, 0.000], [0.500, 0.000, 0.000], [0.000, 0.000, 0.500], [0.500, 0.500, 0.500], [0.000, 0.000, 0.000]], "ef_kj_per_mol_fu": -237.0, "mass_density_kg_m3": 9703}



2.
{"formula": "Sr2CoAuC", "functional": "PBE", "state": "optimized geometry", "lattice": [[5.509, 0.000, 0.000], [0.000, 5.509, 0.000], [0.000, 0.000, 3.644]], "species": ["Sr", "Sr", "Co", "Au", "C"], "frac_coords": [[0.000, 0.500, 0.000], [0.500, 0.000, 0.000], [0.000, 0.000, 0.500], [0.500, 0.500, 0.500], [0.000, 0.000, 0.000]], "ef_kj_per_mol_fu": -90.2, "mass_density_kg_m3": 6653}



3.
{"formula": "Tb2CoAuC", "functional": "PBE", "state": "optimized geometry", "lattice": [[5.043, 0.000, 0.000], [0.000, 5.043, 0.000], [0.000, 0.000, 3.641]], "species": ["Tb", "Tb", "Co", "Au", "C"], "frac_coords": [[0.000, 0.500, 0.000], [0.500, 0.000, 0.000], [0.000, 0.000, 0.500], [0.500, 0.500, 0.500], [0.000, 0.000, 0.000]], "ef_kj_per_mol_fu": -269.4, "mass_density_kg_m3": 10506}



4.
{"formula": "Th2CoAuC", "functional": "PBE", "state": "optimized geometry", "lattice": [[6.723, 0.000, 0.000], [0.000, 3.968, 0.000], [-3.208, 0.000, 7.735]], "species": ["Th", "Th", "Th", "Th", "Co", "Co", "Au", "Au", "C", "C"], "frac_coords": [[0.219, 0.250, 0.472], [0.220, 0.250, 0.891], [0.780, 0.750, 0.109], [0.781, 0.750, 0.528], [0.467, 0.750, 0.756], [0.533, 0.250, 0.244], [0.279, 0.750, 0.197], [0.721, 0.250, 0.803], [0.168, 0.750, 0.675], [0.832, 0.250, 0.325]], "ef_kj_per_mol_fu": -186.0, "mass_density_kg_m3": 11783}



5.
{"formula": "Th6Co2AuC3", "functional": "PBE", "state": "optimized geometry", "lattice": [[8.833, -1.887, 0.000], [8.833, 1.887, 0.000], [-2.815, 0.000, 7.713]], "species": ["Th", "Th", "Th", "Th", "Th", "Th", "Co", "Co", "Au", "C", "C", "C"], "frac_coords": [[0.011, 0.011, 0.220], [0.322, 0.322, 0.428], [0.334, 0.334, 0.911], [0.666, 0.666, 0.089], [0.678, 0.678, 0.572], [0.989, 0.989, 0.780], [0.164, 0.164, 0.821], [0.836, 0.836, 0.179], [0.500, 0.500, 0.500], [0.167, 0.167, 0.330], [0.500, 0.500, 0.000], [0.833, 0.833, 0.670]], "ef_kj_per_mol_fu": -242.8, "mass_density_kg_m3": 11255}



6.
{"formula": "Ti2CoAuC", "functional": "PBE", "state": "optimized geometry", "lattice": [[4.204, 0.000, 0.000], [0.000, 4.204, 0.000], [0.000, 0.000, 3.784]], "species": ["Ti", "Ti", "Co", "Au", "C"], "frac_coords": [[0.000, 0.500, 0.000], [0.500, 0.000, 0.000], [0.000, 0.000, 0.500], [0.500, 0.500, 0.500], [0.000, 0.000, 0.000]], "ef_kj_per_mol_fu": -209.7, "mass_density_kg_m3": 9027}



7.
{"formula": "Tm2CoAuC", "functional": "PBE", "state": "optimized geometry", "lattice": [[4.917, 0.000, 0.000], [0.000, 4.917, 0.000], [0.000, 0.000, 3.631]], "species": ["Tm", "Tm", "Co", "Au", "C"], "frac_coords": [[0.000, 0.500, 0.000], [0.500, 0.000, 0.000], [0.000, 0.000, 0.500], [0.500, 0.500, 0.500], [0.000, 0.000, 0.000]], "ef_kj_per_mol_fu": -294.0, "mass_density_kg_m3": 11456}



8.
{"formula": "CoWAuC2", "functional": "PBE", "state": "optimized geometry", "lattice": [[3.965, 0.000, 0.000], [0.000, 3.965, 0.000], [0.000, 0.000, 5.286]], "species": ["Co", "W", "Au", "C", "C"], "frac_coords": [[0.000, 0.000, 0.000], [0.500, 0.500, 0.500], [0.500, 0.500, 0.000], [0.000, 0.500, 0.500], [0.500, 0.000, 0.500]], "ef_kj_per_mol_fu": 858.8, "mass_density_kg_m3": 9267}



9.
{"formula": "YCoAu2C", "functional": "PBE", "state": "optimized geometry", "lattice": [[4.287, 0.000, 0.000], [0.000, 4.287, 0.000], [0.000, 0.000, 4.757]], "species": ["Y", "Co", "Au", "Au", "C"], "frac_coords": [[0.000, 0.000, 0.000], [0.500, 0.500, 0.000], [0.000, 0.500, 0.500], [0.500, 0.000, 0.500], [0.000, 0.000, 0.500]], "ef_kj_per_mol_fu": 225.4, "mass_density_kg_m3": 10518}



10.
{"formula": "CrAuC2", "functional": "PBE", "state": "optimized geometry", "lattice": [[4.712, 0.000, 0.000], [0.000, 4.712, 0.000], [0.000, 0.000, 9.099]], "species": ["Cr", "Cr", "Cr", "Cr", "Au", "Au", "Au", "Au", "C", "C", "C", "C", "C", "C", "C", "C"], "frac_coords": [[0.000, 0.000, 0.000], [0.000, 0.500, 0.250], [0.500, 0.000, 0.750], [0.500, 0.500, 0.500], [0.000, 0.000, 0.500], [0.000, 0.500, 0.750], [0.500, 0.000, 0.250], [0.500, 0.500, 0.000], [0.191, 0.250, 0.125], [0.250, 0.691, 0.375], [0.250, 0.809, 0.875], [0.309, 0.250, 0.625], [0.691, 0.750, 0.625], [0.750, 0.191, 0.875], [0.750, 0.309, 0.375], [0.809, 0.750, 0.125]], "ef_kj_per_mol_fu": 398.8, "mass_density_kg_m3": 8975}



11.
{"formula": "CrAu3C", "functional": "PBE", "state": "optimized geometry", "lattice": [[4.351, 0.000, 0.000], [0.000, 4.351, 0.000], [0.000, 0.000, 4.351]], "species": ["Cr", "Au", "Au", "Au", "C"], "frac_coords": [[0.000, 0.000, 0.000], [0.000, 0.500, 0.500], [0.500, 0.000, 0.500], [0.500, 0.500, 0.000], [0.500, 0.500, 0.500]], "ef_kj_per_mol_fu": 372.5, "mass_density_kg_m3": 13203}



12.
{"formula": "Cr2AuC2", "functional": "PBE", "state": "optimized geometry", "lattice": [[6.139, 0.000, 0.000], [0.000, 6.139, 0.000], [0.000, 0.000, 2.722]], "species": ["Cr", "Cr", "Cr", "Cr", "Au", "Au", "C", "C", "C", "C"], "frac_coords": [[0.132, 0.368, 0.000], [0.368, 0.868, 0.000], [0.632, 0.132, 0.000], [0.868, 0.632, 0.000], [0.000, 0.000, 0.500], [0.500, 0.500, 0.500], [0.131, 0.631, 0.500], [0.369, 0.131, 0.500], [0.631, 0.869, 0.500], [0.869, 0.369, 0.500]], "ef_kj_per_mol_fu": 389.7, "mass_density_kg_m3": 10520}